1.
Compound: LaHfNi
Source: Alexandria via LeMat-Bulk
Functional: PBE
Structure: optimized geometry

## Properties
Formation enthalpy at 0 K ... -0.116 eV per atom
Raw total energy ... -126.1 eV/cell
DOS(E_F) ... 16.15 states/eV per cell

Lattice parameters (Å, degrees): 6.637 8.675 8.675 67.57 67.51 67.51
Fractional positions:
Ni (0.908, 0.829, 0.829)
Ni (0.306, 0.250, 0.750)
Hf (0.242, 0.370, 0.370)
Ni (0.908, 0.329, 0.329)
La (0.655, 0.554, 0.054)
Ni (0.565, 0.171, 0.171)
La (0.654, 0.054, 0.554)
La (0.262, 0.946, 0.446)
Ni (0.307, 0.750, 0.250)
Hf (0.518, 0.500, 0.500)
Hf (0.983, 0.630, 0.630)
La (0.874, 0.250, 0.750)
Hf (0.518, 0.000, 0.000)
La (0.262, 0.446, 0.946)
La (0.874, 0.750, 0.250)
Hf (0.242, 0.870, 0.870)
Ni (0.565, 0.671, 0.671)
Hf (0.983, 0.130, 0.130)

---

2.
Compound: HfHgP2Cl
Source: Alexandria via LeMat-Bulk
Functional: PBE
Structure: optimized geometry

## Properties
Formation energy (no corrections) ... 4.821 eV/f.u.
Energy above the lowest structure with this stoichiometry ... 5.428 eV per formula unit
Raw total energy ... -18.1 eV/cell
DOS(E_F) ... 3.22 states/eV per cell

Lattice parameters (Å, degrees): 4.911 4.911 4.961 90.00 90.00 90.00
Fractional positions:
Hg (0.000, 0.000, 0.000)
P (0.500, 0.000, 0.000)
Hf (0.500, 0.500, 0.500)
P (0.000, 0.500, 0.000)
Cl (0.000, 0.000, 0.500)

---

3.
Compound: AlSn3Rh
Source: Alexandria via LeMat-Bulk
Functional: PBE
Structure: optimized geometry

## Properties
Energy above the lowest structure with this stoichiometry ... 0.000 eV per formula unit
Formation enthalpy at 0 K ... 0.174 eV per atom
Raw total energy ... -22.2 eV/cell
DOS(E_F) ... 2.87 states/eV per cell

Lattice parameters (Å, degrees): 5.141 5.141 5.141 90.00 90.00 90.00
Fractional positions:
Rh (0.000, 0.000, 0.000)
Sn (0.000, 0.000, 0.500)
Sn (0.000, 0.500, 0.000)
Al (0.500, 0.500, 0.500)
Sn (0.500, 0.000, 0.000)

---

4.
Compound: BaSrIr3
Source: Alexandria via LeMat-Bulk
Functional: PBE
Structure: optimized geometry

## Properties
Energy above the lowest structure with this stoichiometry ... 0.413 eV per formula unit
Formation enthalpy at 0 K ... 1.773 eV per atom
Raw total energy ... -21.3 eV/cell
DOS(E_F) ... 3.48 states/eV per cell

Lattice parameters (Å, degrees): 5.201 5.201 5.201 90.00 90.00 90.00
Fractional positions:
Ir (0.500, 0.000, 0.000)
Ir (0.000, 0.000, 0.500)
Ba (0.000, 0.000, 0.000)
Ir (0.000, 0.500, 0.000)
Sr (0.500, 0.500, 0.500)

---

5.
Compound: LiTmNiAg
Source: Alexandria via LeMat-Bulk
Functional: PBE
Structure: optimized geometry

## Properties
Formation enthalpy at 0 K ... -0.173 eV per atom
Raw total energy ... -15.7 eV/cell
DOS(E_F) ... 1.65 states/eV per cell

Lattice parameters (Å, degrees): 4.585 4.585 4.585 60.00 60.00 60.00
Fractional positions:
Ag (0.250, 0.250, 0.250)
Li (0.000, 0.000, 0.000)
Ni (0.500, 0.500, 0.500)
Tm (0.750, 0.750, 0.750)

---

6.
Compound: CaRhBr6
Source: Alexandria via LeMat-Bulk
Functional: PBE
Structure: optimized geometry

## Properties
Formation energy (no corrections) ... -6.669 eV/f.u.
Raw total energy ... -26.1 eV/cell
DOS(E_F) ... 8.13 states/eV per cell

Lattice parameters (Å, degrees): 6.706 6.707 7.129 61.95 61.97 60.02
Fractional positions:
Ca (0.500, 0.500, 0.500)
Br (0.213, 0.955, 0.235)
Rh (0.000, 0.000, 0.000)
Br (0.402, 0.788, 0.765)
Br (0.787, 0.045, 0.765)
Br (0.598, 0.212, 0.235)
Br (0.955, 0.597, 0.235)
Br (0.045, 0.403, 0.765)